[1]
Compound: Dy4SnSbC
Source: the Alexandria database
Functional: PBE
Structure: optimized geometry

Calculated values
* uncorrected formation energy: -0.728 eV/atom
* energy: -5.8360 eV/atom
* theoretical density: 8229 kg/m³
* total moment: 0.0 μB/f.u.

abc: 8.594 8.594 6.791
angles: 90.00 90.00 133.43
Sites, in units of the cell vectors:
Dy (0.000, 0.500, 0.000)
Dy (0.000, 0.500, 0.500)
Dy (0.092, 0.908, 0.750)
Dy (0.407, 0.593, 0.750)
Dy (0.500, 0.000, 0.000)
Dy (0.500, 0.000, 0.500)
Dy (0.593, 0.407, 0.250)
Dy (0.908, 0.092, 0.250)
Sn (0.108, 0.892, 0.250)
Sn (0.892, 0.108, 0.750)
Sb (0.392, 0.608, 0.250)
Sb (0.608, 0.392, 0.750)
C (0.250, 0.750, 0.750)
C (0.750, 0.250, 0.250)

***

[2]
Compound: MnIrW2
Source: the Alexandria database
Functional: PBE
Structure: optimized geometry

Calculated values
* energy: -10.9413 eV/atom
* theoretical density: 17045 kg/m³
* energy of formation: 0.043 eV/atom
* total moment: 2.6 μB/f.u.
* excess energy over the best structure of this formula in the dataset: 87 meV per atom

abc: 2.747 2.747 7.937
angles: 90.00 90.00 90.13
Sites, in units of the cell vectors:
Mn (0.000, 0.000, 0.000)
Ir (0.500, 0.500, 0.234)
W (0.000, 0.000, 0.474)
W (0.500, 0.500, 0.753)

***

[3]
Compound: CaPmNdTh
Source: the Alexandria database
Functional: PBE
Structure: optimized geometry

Calculated values
* energy: -4.5143 eV/atom
* theoretical density: 6660 kg/m³
* energy of formation: 0.221 eV/atom
* total moment: 0.6 μB/f.u.
* excess energy over the best structure of this formula in the dataset: 185 meV per atom

abc: 5.828 5.828 5.828
angles: 60.00 60.00 60.00
Sites, in units of the cell vectors:
Ca (0.000, 0.000, 0.000)
Pm (0.250, 0.250, 0.250)
Nd (0.750, 0.750, 0.750)
Th (0.500, 0.500, 0.500)

***

[4]
Compound: NdMg2GaGe2
Source: the Alexandria database
Functional: PBE
Structure: optimized geometry

Calculated values
* energy: -3.7592 eV/atom
* theoretical density: 5217 kg/m³
* energy of formation: -0.389 eV/atom
* total moment: 0.0 μB/f.u.

abc: 4.179 8.878 6.998
angles: 90.00 90.00 90.00
Sites, in units of the cell vectors:
Nd (0.000, 0.082, 0.000)
Nd (0.000, 0.918, 0.500)
Mg (0.000, 0.318, 0.413)
Mg (0.000, 0.682, 0.913)
Mg (0.500, 0.424, 0.091)
Mg (0.500, 0.576, 0.591)
Ga (0.500, 0.203, 0.692)
Ga (0.500, 0.797, 0.192)
Ge (0.000, 0.387, 0.798)
Ge (0.000, 0.613, 0.298)
Ge (0.500, 0.137, 0.311)
Ge (0.500, 0.863, 0.811)

***

[5]
Compound: La2NdY3Ho6
Source: the Alexandria database
Functional: PBE
Structure: optimized geometry

Calculated values
* energy: -5.0999 eV/atom
* theoretical density: 7124 kg/m³
* energy of formation: 0.024 eV/atom
* total moment: 0.0 μB/f.u.

abc: 6.221 6.221 11.853
angles: 95.01 95.01 119.99
Sites, in units of the cell vectors:
La (0.167, 0.833, 0.000)
La (0.833, 0.167, 0.000)
Nd (0.500, 0.500, 0.000)
Y (0.000, 0.000, 0.500)
Y (0.333, 0.667, 0.500)
Y (0.667, 0.333, 0.500)
Ho (0.082, 0.415, 0.746)
Ho (0.253, 0.253, 0.254)
Ho (0.415, 0.082, 0.746)
Ho (0.585, 0.918, 0.254)
Ho (0.747, 0.747, 0.746)
Ho (0.918, 0.585, 0.254)

***

[6]
Compound: YSi2Ir
Source: the Alexandria database
Functional: PBE
Structure: optimized geometry

Calculated values
* uncorrected formation energy: -0.285 eV/atom
* energy: -6.8276 eV/atom
* theoretical density: 8261 kg/m³
* total moment: 0.0 μB/f.u.

abc: 4.577 4.577 4.577
angles: 60.00 60.00 60.00
Sites, in units of the cell vectors:
Y (0.000, 0.000, 0.000)
Si (0.250, 0.250, 0.250)
Si (0.750, 0.750, 0.750)
Ir (0.500, 0.500, 0.500)

***

[7]
Compound: PrTh2Tl3
Source: the Alexandria database
Functional: PBE
Structure: optimized geometry

Calculated values
* energy: -4.6754 eV/atom
* theoretical density: 11449 kg/m³
* energy of formation: -0.222 eV/atom
* total moment: 0.0 μB/f.u.

abc: 3.584 3.584 13.754
angles: 90.00 90.00 90.00
Sites, in units of the cell vectors:
Pr (0.000, 0.000, 0.000)
Th (0.000, 0.000, 0.334)
Th (0.000, 0.000, 0.666)
Tl (0.500, 0.500, 0.167)
Tl (0.500, 0.500, 0.500)
Tl (0.500, 0.500, 0.833)

***

[8]
Compound: Re2PtBr
Source: the Alexandria database
Functional: PBE
Structure: optimized geometry

Calculated values
* uncorrected formation energy: 1.186 eV/atom
* energy: -6.9664 eV/atom
* theoretical density: 16391 kg/m³
* total moment: 0.0 μB/f.u.
* excess energy over the best structure of this formula in the dataset: 804 meV per atom

abc: 4.527 4.527 4.527
angles: 60.00 60.00 60.00
Sites, in units of the cell vectors:
Re (0.000, 0.000, 0.000)
Re (0.250, 0.250, 0.250)
Pt (0.750, 0.750, 0.750)
Br (0.500, 0.500, 0.500)

***

[9]
Compound: TaBr3Cl
Source: the Alexandria database
Functional: PBE
Structure: optimized geometry

Calculated values
* uncorrected formation energy: 1.328 eV/atom
* energy: -2.4155 eV/atom
* theoretical density: 5086 kg/m³
* total moment: 4.0 μB/f.u.
* excess energy over the best structure of this formula in the dataset: 2278 meV per atom

abc: 5.301 5.301 5.301
angles: 90.00 90.00 90.00
Sites, in units of the cell vectors:
Ta (0.000, 0.000, 0.000)
Br (0.000, 0.500, 0.500)
Br (0.500, 0.000, 0.500)
Br (0.500, 0.500, 0.000)
Cl (0.500, 0.500, 0.500)

***

[10]
Compound: K2YSi
Source: the Alexandria database
Functional: PBE
Structure: optimized geometry

Calculated values
* uncorrected formation energy: 0.060 eV/atom
* energy: -3.4602 eV/atom
* theoretical density: 1708 kg/m³
* total moment: 0.0 μB/f.u.

abc: 9.999 9.999 9.999
angles: 27.62 27.62 27.62
Sites, in units of the cell vectors:
K (0.000, 0.000, 0.000)
K (0.192, 0.192, 0.192)
Y (0.763, 0.763, 0.763)
Si (0.450, 0.450, 0.450)

***

[11]
Compound: KIr
Source: the Alexandria database
Functional: PBE
Structure: optimized geometry

Calculated values
* energy: -2.8542 eV/atom
* theoretical density: 5031 kg/m³
* energy of formation: 2.125 eV/atom
* total moment: 2.0 μB/f.u.
* excess energy over the best structure of this formula in the dataset: 1760 meV per atom

abc: 4.762 4.762 4.762
angles: 60.00 60.00 60.00
Sites, in units of the cell vectors:
K (0.000, 0.000, 0.000)
Ir (0.500, 0.500, 0.500)

***

[12]
Compound: Pm2PRh
Source: the Alexandria database
Functional: PBE
Structure: optimized geometry

Calculated values
* energy: -6.4330 eV/atom
* theoretical density: 7950 kg/m³
* energy of formation: -0.867 eV/atom
* total moment: 0.0 μB/f.u.
* excess energy over the best structure of this formula in the dataset: 77 meV per atom

abc: 3.564 3.564 6.972
angles: 90.00 90.00 90.00
Sites, in units of the cell vectors:
Pm (0.000, 0.000, 0.244)
Pm (0.000, 0.000, 0.756)
P (0.500, 0.500, 0.000)
Rh (0.500, 0.500, 0.500)